No. 1
A relaxed structure of Li3BPd2Pt3, computed with PBE.

## Properties
Magnetization in μB per formula unit: 0.00
Formation energy in eV per atom: -0.4621

a b c (Å): 7.054 7.054 2.816
angles (deg): 90.00 90.00 120.00
Element x y z (fractional)
Li 0.000 0.617 0.000
Li 0.383 0.383 0.000
Li 0.617 0.000 0.000
B 0.000 0.000 0.000
Pd 0.333 0.667 0.500
Pd 0.667 0.333 0.500
Pt 0.000 0.238 0.500
Pt 0.238 0.000 0.500
Pt 0.762 0.762 0.500

---

No. 2
A relaxed structure of Tb3Mg7, computed with PBE.

## Properties
Magnetization in μB per formula unit: 0.00
Formation energy in eV per atom: -0.0609

a b c (Å): 8.661 8.661 6.509
angles (deg): 109.66 109.66 34.25
Element x y z (fractional)
Tb 0.000 0.000 0.000
Tb 0.206 0.206 0.793
Tb 0.794 0.794 0.207
Mg 0.000 0.000 0.500
Mg 0.199 0.199 0.300
Mg 0.393 0.393 0.618
Mg 0.408 0.408 0.137
Mg 0.592 0.592 0.863
Mg 0.607 0.607 0.382
Mg 0.801 0.801 0.700

---

No. 3
A relaxed structure of KBe2, computed with PBE.

## Properties
Magnetization in μB per formula unit: 0.00
Formation energy in eV per atom: 1.7244
Energy above the most stable polymorph in this dataset in meV/atom: 1293

a b c (Å): 7.310 7.310 7.310
angles (deg): 90.00 90.00 90.00
Element x y z (fractional)
K 0.000 0.000 0.000
K 0.000 0.500 0.500
K 0.500 0.000 0.500
K 0.500 0.500 0.000
Be 0.084 0.584 0.916
Be 0.084 0.916 0.416
Be 0.416 0.084 0.916
Be 0.416 0.416 0.416
Be 0.584 0.584 0.584
Be 0.584 0.916 0.084
Be 0.916 0.084 0.584
Be 0.916 0.416 0.084

---

No. 4
A relaxed structure of Rb2AgF3, computed with PBE.

## Properties
Energy relative to the elements, uncorrected in eV per formula unit: -12.5
Magnetization in μB per formula unit: 0.00
Energy above the most stable polymorph in this dataset in meV/atom: 7

a b c (Å): 7.166 7.166 6.903
angles (deg): 109.72 109.72 58.17
Element x y z (fractional)
Rb 0.006 0.306 0.178
Rb 0.306 0.006 0.678
Rb 0.694 0.994 0.322
Rb 0.994 0.694 0.822
Ag 0.449 0.551 0.250
Ag 0.551 0.449 0.750
F 0.097 0.903 0.250
F 0.317 0.329 0.549
F 0.329 0.317 0.049
F 0.671 0.683 0.951
F 0.683 0.671 0.451
F 0.903 0.097 0.750

---

No. 5
A relaxed structure of ErTmPt, computed with PBE.

## Properties
Magnetization in μB per formula unit: 0.00
Formation energy in eV per atom: -0.8561
Energy above the most stable polymorph in this dataset in meV/atom: 92

a b c (Å): 8.082 8.082 5.063
angles (deg): 90.00 90.00 154.41
Element x y z (fractional)
Er 0.073 0.927 0.750
Er 0.927 0.073 0.250
Tm 0.218 0.782 0.250
Tm 0.782 0.218 0.750
Pt 0.424 0.576 0.750
Pt 0.576 0.424 0.250

---

No. 6
A relaxed structure of ScInSnHg2, computed with PBE.

## Properties
Magnetization in μB per formula unit: 0.00
Formation energy in eV per atom: 0.4269

a b c (Å): 5.312 5.312 5.601
angles (deg): 90.00 90.00 90.00
Element x y z (fractional)
Sc 0.000 0.000 0.000
In 0.000 0.000 0.500
Sn 0.500 0.500 0.000
Hg 0.000 0.500 0.500
Hg 0.500 0.000 0.500

---

> Look up the magnetization of the third one.

0.00 μB per formula unit

---

Repeat the third record exactly.
A relaxed structure of KBe2, computed with PBE.

## Properties
Magnetization in μB per formula unit: 0.00
Formation energy in eV per atom: 1.7244
Energy above the most stable polymorph in this dataset in meV/atom: 1293

a b c (Å): 7.310 7.310 7.310
angles (deg): 90.00 90.00 90.00
Element x y z (fractional)
K 0.000 0.000 0.000
K 0.000 0.500 0.500
K 0.500 0.000 0.500
K 0.500 0.500 0.000
Be 0.084 0.584 0.916
Be 0.084 0.916 0.416
Be 0.416 0.084 0.916
Be 0.416 0.416 0.416
Be 0.584 0.584 0.584
Be 0.584 0.916 0.084
Be 0.916 0.084 0.584
Be 0.916 0.416 0.084

---

Please write out number 1 again, unchanged.
A relaxed structure of Li3BPd2Pt3, computed with PBE.

## Properties
Magnetization in μB per formula unit: 0.00
Formation energy in eV per atom: -0.4621

a b c (Å): 7.054 7.054 2.816
angles (deg): 90.00 90.00 120.00
Element x y z (fractional)
Li 0.000 0.617 0.000
Li 0.383 0.383 0.000
Li 0.617 0.000 0.000
B 0.000 0.000 0.000
Pd 0.333 0.667 0.500
Pd 0.667 0.333 0.500
Pt 0.000 0.238 0.500
Pt 0.238 0.000 0.500
Pt 0.762 0.762 0.500